1.
DFT (PBE-GGA) results for SrTcBi2O8 after structural relaxation.

a b c (Å): 5.1723 6.9680 5.1877
angles (deg): 90.00 91.95 90.00
Fractional coordinates of all 12 atoms:
Sr: 0.0000 0.0000 0.0000
Tc: 0.0000 0.5000 0.0000
Bi: 0.5000 0.2521 0.5000
Bi: 0.5000 0.7479 0.5000
O: 0.1856 0.3020 0.1820
O: 0.1856 0.6980 0.1820
O: 0.2555 0.5000 0.7404
O: 0.3226 0.0000 0.6745
O: 0.6774 0.0000 0.3255
O: 0.7445 0.5000 0.2596
O: 0.8144 0.3020 0.8180
O: 0.8144 0.6980 0.8180

Its total magnetization is 0.00 μB per formula unit. The total energy is -76.47 eV per formula unit. The volume comes out at 186.86 Å³/f.u.



2.
DFT (PBE-GGA) results for Sr2BiTeO8 after structural relaxation.

a b c (Å): 5.3740 5.3740 6.7826
angles (deg): 90.00 90.00 92.93
Fractional coordinates of all 12 atoms:
Sr: 0.0000 0.0000 0.2441
Sr: 0.0000 0.0000 0.7559
Bi: 0.5000 0.5000 0.5000
Te: 0.5000 0.5000 0.0000
O: 0.2279 0.2279 0.5000
O: 0.2439 0.2439 0.0000
O: 0.3292 0.6708 0.2209
O: 0.3292 0.6708 0.7791
O: 0.6708 0.3292 0.2209
O: 0.6708 0.3292 0.7791
O: 0.7561 0.7561 0.0000
O: 0.7721 0.7721 0.5000

Its total magnetization is 1.05 μB per formula unit. The total energy is -67.72 eV per formula unit. The volume comes out at 195.62 Å³/f.u.